VASP calculation (PBE-GGA) on a relaxed CoAu2Cl crystal.

abc: 2.9267 2.9267 8.8059
angles: 90.00 90.00 90.00
Element x y z (fractional)
Co1 0.0000 0.0000 0.0000
Au1 0.0000 0.0000 0.4538
Au2 0.5000 0.5000 0.2154
Cl1 0.5000 0.5000 0.8485

## Properties
The density of states at the Fermi level comes out at 0.7381 states/eV/atom. The calculation puts the formation energy (no corrections) at 0.6 eV/f.u. The volume is 75.4 Å³ per cell.



VASP calculation (PBE-GGA) on a relaxed CoAu2Cl crystal.

abc: 6.5409 6.5409 6.5409
angles: 96.47 96.47 140.77
Element x y z (fractional)
Co1 0.0000 0.0000 0.0000
Co2 0.7500 0.2500 0.5000
Au1 0.0320 0.6250 0.9070
Au2 0.3750 0.2820 0.4070
Au3 0.7180 0.1250 0.0930
Au4 0.8750 0.9680 0.5930
Cl1 0.2500 0.7500 0.5000
Cl2 0.5000 0.5000 0.0000

## Properties
The density of states at the Fermi level comes out at 1.1707 states/eV/atom. The calculation puts the formation energy (no corrections) at 1.7 eV/f.u. The volume is 166.7 Å³ per cell.



VASP calculation (PBE-GGA) on a relaxed CoAu2Cl6 crystal.

abc: 9.8481 9.8481 6.0438
angles: 97.02 97.02 71.85
Element x y z (fractional)
Co1 0.0710 0.9290 0.7500
Co2 0.9290 0.0710 0.2500
Au1 0.0567 0.3484 0.0129
Au2 0.3484 0.0567 0.5129
Au3 0.6516 0.9433 0.4871
Au4 0.9433 0.6516 0.9871
Cl1 0.0128 0.1417 0.5996
Cl2 0.1303 0.6986 0.8331
Cl3 0.1417 0.0128 0.0996
Cl4 0.2418 0.3610 0.8329
Cl5 0.3014 0.8697 0.6669
Cl6 0.3610 0.2418 0.3329
Cl7 0.6390 0.7582 0.6671
Cl8 0.6986 0.1303 0.3331
Cl9 0.7582 0.6390 0.1671
Cl10 0.8583 0.9872 0.9004
Cl11 0.8697 0.3014 0.1669
Cl12 0.9872 0.8583 0.4004

## Properties
The density of states at the Fermi level comes out at 0.6463 states/eV/atom. The calculation puts the formation energy (no corrections) at -2.5 eV/f.u. The volume is 550.6 Å³ per cell.



VASP calculation (PBE-GGA) on a relaxed CoAu2Cl crystal.

abc: 2.9642 2.9642 9.5195
angles: 90.00 90.00 119.06
Element x y z (fractional)
Co1 0.0000 0.0000 0.0000
Au1 0.0000 0.0000 0.5110
Au2 0.5000 0.5000 0.7727
Cl1 0.5000 0.5000 0.1726

## Properties
The density of states at the Fermi level comes out at 1.1369 states/eV/atom. The calculation puts the formation energy (no corrections) at 0.8 eV/f.u. The volume is 73.1 Å³ per cell.